1.
K2ZrVSi | PBE | relaxed

Its formation energy (no corrections) is 1.692 eV per atom.

The space group is P4/mmm (No. 123) and the conventional cell measures 6.482, 6.482 and 4.555 Å, with angles of 90.00, 90.00 and 90.00 degrees. Symmetry generates all atoms from K at (0.000, 0.500, 0.000), Zr at (0.000, 0.000, 0.000), V at (0.000, 0.000, 0.500) and Si at (0.500, 0.500, 0.500).

***

2.
ScCd2SbO6 | PBE | relaxed

Its formation energy (no corrections) is -1.840 eV per atom.

The space group is R3 (No. 146, hexagonal axes) and the conventional cell measures 5.5575, 5.5575 and 14.2056 Å, with angles of 90.00, 90.00 and 120.00 degrees. Symmetry generates all atoms from Sc at (0.0000, 0.0000, 0.0000), Cd at (0.0000, 0.0000, 0.2676), Cd at (0.0000, 0.0000, 0.7712), Sb at (0.0000, 0.0000, 0.4966), O at (0.0016, 0.3985, 0.2386) and O at (0.0735, 0.7199, 0.0759).

***

3.
ReAg2HgC | PBE | relaxed

For the energy of formation, the calculation gives 8.4 eV per formula unit.

The space group is P4/mmm (No. 123) and the conventional cell measures 4.222, 4.222 and 4.784 Å, with angles of 90.00, 90.00 and 90.00 degrees. Symmetry generates all atoms from Re at (0.000, 0.000, 0.000), Ag at (0.000, 0.500, 0.500), Hg at (0.500, 0.500, 0.000) and C at (0.500, 0.500, 0.500).

***

Q: Number 1 is which compound?
A: K2ZrVSi